Record 1
5
Lattice="4.492 0.000 0.000 0.000 4.492 0.000 0.000 0.000 4.492" Properties=species:S:1:pos:R:3 comment="TaSiPt3, relaxed, DFT GGA-PBE" magnetic_moment_mub_per_fu=1.1 mass_density_g_cm3=14.55 polymorph_energy_kcal_per_mol_atoms=0.000 pbc="T T T"
Ta 0.000 0.000 0.000
Si 2.246 2.246 2.246
Pt 0.000 2.246 2.246
Pt 2.246 0.000 2.246
Pt 2.246 2.246 0.000

Record 2
16
Lattice="3.396 1.961 5.376 -3.396 1.961 5.376 0.000 -3.922 5.376" Properties=species:S:1:pos:R:3 comment="Ca4ZnCd3O8, relaxed, DFT GGA-PBE" final_energy_ev_per_atom=-5.24 magnetic_moment_mub_per_fu=0.0 mass_density_g_cm3=5.34 pbc="T T T"
Ca 0.000 0.000 0.000
Ca -1.698 -0.980 5.376
Ca -1.698 0.980 10.752
Ca 0.000 1.961 5.376
Zn 0.000 0.000 8.064
Cd -3.396 0.000 8.064
Cd -1.698 0.980 2.688
Cd 1.698 0.980 2.688
O 0.000 0.000 4.055
O 0.000 -1.904 6.736
O -1.649 0.952 6.736
O -1.649 -0.952 9.392
O 1.649 0.952 6.736
O 1.649 -0.952 9.392
O 0.000 1.904 9.392
O 0.000 0.000 12.073

Record 3
4
Lattice="1.357 0.783 8.762 -1.357 0.783 8.762 0.000 -1.567 8.762" Properties=species:S:1:pos:R:3 comment="Zn2FeRe, relaxed, DFT GGA-PBE" formation_energy_ev_per_atom=0.185 magnetic_moment_mub_per_fu=2.6 mass_density_g_cm3=11.08 polymorph_energy_kcal_per_mol_atoms=3.233 pbc="T T T"
Zn 0.000 0.000 6.494
Zn 0.000 0.000 19.791
Fe 0.000 0.000 13.143
Re 0.000 0.000 0.000

Record 4
4
Lattice="3.593 0.000 0.000 0.000 3.593 0.000 0.000 0.000 7.237" Properties=species:S:1:pos:R:3 comment="TbPrZnCu, relaxed, DFT GGA-PBE" formation_energy_ev_per_atom=-0.247 magnetic_moment_mub_per_fu=0.0 mass_density_g_cm3=7.62 polymorph_energy_kcal_per_mol_atoms=0.000 pbc="T T T"
Tb 0.000 0.000 0.000
Pr 0.000 0.000 3.704
Zn 1.797 1.797 1.740
Cu 1.797 1.797 5.672